# Pm5Er4Sc4

A geometry-optimized Pm5Er4Sc4 structure (GGA-PBE, Alexandria via LeMat-Bulk).

Energy, Ha/atom: -0.1886
DFT formation energy, eV per atom: 0.0482

The structure in POSCAR format:
```
Pm5Er4Sc4
1.0
0.077 4.918 0.297
-8.579 2.461 2.351
2.237 1.906 8.749
Sc Er Pm
4 4 5
Direct
0.766 0.390 0.078
0.844 0.922 0.390
0.234 0.610 0.922
0.156 0.078 0.610
0.922 0.461 0.694
0.078 0.539 0.306
0.616 0.306 0.461
0.384 0.694 0.539
0.457 0.237 0.848
0.000 0.000 0.000
0.306 0.152 0.237
0.694 0.848 0.763
0.543 0.763 0.152
```